Record 1
## LaPS (GGA-PBEsol)

Data for an optimized crystal structure of LaPS.

Output
Uncorrected formation energy in eV per atom: -1.61
Density in g cm⁻³: 5.15
Space-group type: Pnma (62)

Unit cell a=3.759 b=7.319 c=9.461 alpha=90.00 beta=90.00 gamma=90.00
Sites, in units of the cell vectors:
P (0.250, 0.081, 0.962)
P (0.750, 0.419, 0.462)
P (0.250, 0.581, 0.538)
P (0.750, 0.919, 0.038)
S (0.750, 0.398, 0.842)
S (0.250, 0.102, 0.342)
S (0.750, 0.898, 0.658)
S (0.250, 0.602, 0.158)
La (0.750, 0.800, 0.344)
La (0.250, 0.200, 0.656)
La (0.750, 0.300, 0.156)
La (0.250, 0.700, 0.844)

=====

Record 2
## Tc2IrRu (GGA-PBEsol)

Data for an optimized crystal structure of Tc2IrRu.

Output
E_form in eV/atom: -0.215
Density in g cm⁻³: 14.80
Space-group type: Pmm2 (25)

Unit cell a=2.708 b=4.298 c=4.715 alpha=90.00 beta=90.00 gamma=90.00
Sites, in units of the cell vectors:
Ru (0.500, 0.500, 0.203)
Ir (0.500, 0.000, 0.545)
Tc (0.000, 0.000, 0.041)
Tc (0.000, 0.500, 0.712)

=====

Record 3
## LaFeSi2 (GGA-PBEsol)

Data for an optimized crystal structure of LaFeSi2.

Output
Uncorrected formation energy in eV per atom: -0.02
Density in g cm⁻³: 5.56
Space-group type: Imm2 (44)

Unit cell a=4.306 b=4.734 c=4.734 alpha=68.46 beta=62.95 gamma=62.95
Sites, in units of the cell vectors:
Fe (0.603, 0.397, 0.397)
La (0.742, 0.758, 0.758)
Si (0.938, 0.062, 0.062)
Si (0.217, 0.283, 0.283)

=====

Record 4
## Tl2Cr3O12 (GGA-PBEsol)

Data for an optimized crystal structure of Tl2Cr3O12.

Output
Uncorrected formation energy in eV per atom: -1.36
Density in g cm⁻³: 5.06
Space-group type: Pbcn (60)

Unit cell a=8.792 b=8.754 c=12.913 alpha=90.00 beta=90.00 gamma=90.00
Sites, in units of the cell vectors:
Tl (0.397, 0.253, 0.407)
Tl (0.897, 0.247, 0.093)
Tl (0.103, 0.253, 0.593)
Tl (0.603, 0.247, 0.907)
Tl (0.603, 0.747, 0.593)
Tl (0.103, 0.753, 0.907)
Tl (0.897, 0.747, 0.407)
Tl (0.397, 0.753, 0.093)
Cr (0.250, 0.894, 0.500)
Cr (0.750, 0.606, 0.000)
Cr (0.750, 0.106, 0.500)
Cr (0.250, 0.394, 0.000)
Cr (0.030, 0.883, 0.168)
Cr (0.530, 0.617, 0.332)
Cr (0.470, 0.883, 0.832)
Cr (0.970, 0.617, 0.668)
Cr (0.970, 0.117, 0.832)
Cr (0.470, 0.383, 0.668)
Cr (0.530, 0.117, 0.168)
Cr (0.030, 0.383, 0.332)
O (0.357, 0.501, 0.074)
O (0.857, 0.999, 0.426)
O (0.143, 0.501, 0.926)
O (0.643, 0.999, 0.574)
O (0.643, 0.499, 0.926)
O (0.143, 0.001, 0.574)
O (0.857, 0.499, 0.074)
O (0.357, 0.001, 0.426)
O (0.583, 0.994, 0.901)
O (0.083, 0.506, 0.599)
O (0.917, 0.994, 0.099)
O (0.417, 0.506, 0.401)
O (0.417, 0.006, 0.099)
O (0.917, 0.494, 0.401)
O (0.083, 0.006, 0.901)
O (0.583, 0.494, 0.599)
O (0.358, 0.282, 0.927)
O (0.642, 0.718, 0.073)
O (0.858, 0.718, 0.927)
O (0.358, 0.782, 0.573)
O (0.358, 0.278, 0.583)
O (0.858, 0.222, 0.917)
O (0.142, 0.278, 0.417)
O (0.642, 0.222, 0.083)
O (0.642, 0.722, 0.417)
O (0.142, 0.778, 0.083)
O (0.858, 0.722, 0.583)
O (0.358, 0.778, 0.917)
O (0.365, 0.982, 0.760)
O (0.865, 0.518, 0.740)
O (0.135, 0.982, 0.240)
O (0.635, 0.518, 0.260)
O (0.635, 0.018, 0.240)
O (0.135, 0.482, 0.260)
O (0.865, 0.018, 0.760)
O (0.365, 0.482, 0.740)
O (0.577, 0.267, 0.739)
O (0.077, 0.233, 0.761)
O (0.923, 0.267, 0.261)
O (0.423, 0.233, 0.239)
O (0.423, 0.733, 0.261)
O (0.923, 0.767, 0.239)
O (0.077, 0.733, 0.739)
O (0.577, 0.767, 0.761)
O (0.642, 0.218, 0.427)
O (0.142, 0.282, 0.073)
O (0.858, 0.218, 0.573)
O (0.142, 0.782, 0.427)

=====

Record 5
## Mn2P5O16 (GGA-PBEsol)

Data for an optimized crystal structure of Mn2P5O16.

Output
Uncorrected formation energy in eV per atom: -2.02
Density in g cm⁻³: 2.82
Space-group type: P2/c (13)

Unit cell a=4.922 b=6.597 c=18.867 alpha=90.00 beta=90.30 gamma=90.00
Site moments in Bohr magnetons follow the coordinates.
Sites, in units of the cell vectors:
Mn (0.749, 0.178, 0.093)  3.17
Mn (0.251, 0.178, 0.407)  3.17
Mn (0.749, 0.822, 0.593)  3.17
Mn (0.251, 0.822, 0.907)  3.17
P (0.759, 0.874, 0.424)  0.01
P (0.737, 0.456, 0.369)  0.01
P (0.000, 0.252, 0.250)  0.02
P (0.263, 0.456, 0.131)  0.01
P (0.759, 0.126, 0.924)  0.01
P (0.737, 0.544, 0.869)  0.01
P (0.000, 0.748, 0.750)  0.02
P (0.241, 0.874, 0.076)  0.01
P (0.241, 0.126, 0.576)  0.01
P (0.263, 0.544, 0.631)  0.01
O (0.439, 0.419, 0.383)  0.00
O (0.345, 0.782, 0.007)  0.04
O (0.946, 0.947, 0.070)  0.03
O (0.063, 0.351, 0.083)  0.02
O (0.655, 0.218, 0.993)  0.04
O (0.054, 0.053, 0.930)  0.03
O (0.937, 0.649, 0.917)  0.02
O (0.439, 0.581, 0.883)  0.00
O (0.571, 0.973, 0.888)  0.03
O (0.780, 0.308, 0.867)  0.00
O (0.147, 0.868, 0.806)  0.01
O (0.793, 0.594, 0.787)  0.01
O (0.207, 0.594, 0.713)  0.01
O (0.853, 0.868, 0.694)  0.01
O (0.220, 0.308, 0.633)  0.00
O (0.429, 0.973, 0.612)  0.03
O (0.561, 0.581, 0.617)  0.00
O (0.063, 0.649, 0.583)  0.02
O (0.946, 0.053, 0.570)  0.03
O (0.345, 0.218, 0.507)  0.04
O (0.429, 0.027, 0.112)  0.03
O (0.054, 0.947, 0.430)  0.03
O (0.937, 0.351, 0.417)  0.02
O (0.655, 0.782, 0.493)  0.04
O (0.571, 0.027, 0.388)  0.03
O (0.780, 0.692, 0.367)  0.00
O (0.147, 0.132, 0.306)  0.01
O (0.793, 0.406, 0.287)  0.01
O (0.207, 0.406, 0.213)  0.01
O (0.853, 0.132, 0.194)  0.01
O (0.220, 0.692, 0.133)  0.00
O (0.561, 0.419, 0.117)  0.00

=====

Record 6
## Mn2ZnPd2 (GGA-PBEsol)

Data for an optimized crystal structure of Mn2ZnPd2.

Output
E_form in eV/atom: 0.344
Density in g cm⁻³: 8.97
Space-group type: I4/mmm (139)

Unit cell a=3.764 b=3.764 c=5.729 alpha=109.18 beta=109.18 gamma=90.00
Site moments in Bohr magnetons follow the coordinates.
Sites, in units of the cell vectors:
Zn (0.000, 0.000, 0.000)  -0.03
Mn (0.409, 0.409, 0.817)  1.01
Mn (0.591, 0.591, 0.183)  1.01
Pd (0.250, 0.750, 0.500)  0.06
Pd (0.750, 0.250, 0.500)  0.06

=====

| no. | E (eV/cell) |
| --- | --- |
| 1 | -81.39 |
| 2 | -43.39 |
| 3 | -25.89 |
| 4 | -488.19 |
| 5 | -357.85 |
| 6 | -31.30 |